# Re2HgRh, relaxed, DFT PBE-GGA
# Formation enthalpy at 0 K, eV per formula unit: 1.5
data_Re2HgRh
_chemical_formula_sum 'Re2 Hg1 Rh1'
_cell_length_a 2.8073
_cell_length_b 3.9349
_cell_length_c 5.8430
_cell_angle_alpha 90.00
_cell_angle_beta 90.00
_cell_angle_gamma 90.00
_symmetry_space_group_name_H-M 'P m m 2'
_symmetry_Int_Tables_number 25
_symmetry_space_group_name_Hall 'P 2 -2'
loop_
_atom_site_label
_atom_site_type_symbol
_atom_site_fract_x
_atom_site_fract_y
_atom_site_fract_z
Re1 Re 0.0000 0.0000 0.0000
Re2 Re 0.5000 0.5000 0.2009
Hg1 Hg 0.5000 0.5000 0.7063
Rh1 Rh 0.0000 0.0000 0.4488



# ReHgRh2, relaxed, DFT PBE-GGA
# Formation enthalpy at 0 K, eV per formula unit: 0.6
data_ReHgRh2
_chemical_formula_sum 'Re1 Hg1 Rh2'
_cell_length_a 2.8166
_cell_length_b 3.7949
_cell_length_c 5.9393
_cell_angle_alpha 90.00
_cell_angle_beta 90.00
_cell_angle_gamma 90.00
_symmetry_space_group_name_H-M 'P m m m'
_symmetry_Int_Tables_number 47
_symmetry_space_group_name_Hall '-P 2 2'
loop_
_atom_site_label
_atom_site_type_symbol
_atom_site_fract_x
_atom_site_fract_y
_atom_site_fract_z
Re1 Re 0.0000 0.0000 0.0000
Hg1 Hg 0.0000 0.0000 0.5000
Rh1 Rh 0.5000 0.5000 0.2222



# Re2HgRh, relaxed, DFT PBE-GGA
# Formation enthalpy at 0 K, eV per formula unit: 1.7
data_Re2HgRh
_chemical_formula_sum 'Re6 Hg3 Rh3'
_cell_length_a 2.8070
_cell_length_b 2.8070
_cell_length_c 28.1899
_cell_angle_alpha 90.00
_cell_angle_beta 90.00
_cell_angle_gamma 120.00
_symmetry_space_group_name_H-M 'R -3 m'
_symmetry_Int_Tables_number 166
_symmetry_space_group_name_Hall '-R 3 2"'
loop_
_atom_site_label
_atom_site_type_symbol
_atom_site_fract_x
_atom_site_fract_y
_atom_site_fract_z
Re1 Re 0.0000 0.0000 0.2433
Hg1 Hg 0.0000 0.0000 0.0000
Rh1 Rh 0.0000 0.0000 0.5000



# ReHgRh2, relaxed, DFT PBE-GGA
# Formation enthalpy at 0 K, eV per formula unit: 1.1
data_ReHgRh2
_chemical_formula_sum 'Re2 Hg2 Rh4'
_cell_length_a 9.3608
_cell_length_b 2.8269
_cell_length_c 4.8606
_cell_angle_alpha 90.00
_cell_angle_beta 100.42
_cell_angle_gamma 90.00
_symmetry_space_group_name_H-M 'C 1 m 1'
_symmetry_Int_Tables_number 8
_symmetry_space_group_name_Hall 'C -2y'
loop_
_atom_site_label
_atom_site_type_symbol
_atom_site_fract_x
_atom_site_fract_y
_atom_site_fract_z
Re1 Re 0.0000 0.0000 0.0000
Hg1 Hg 0.2599 0.5000 0.3086
Rh1 Rh 0.0161 0.5000 0.5392
Rh2 Rh 0.2635 0.0000 0.8182



# Re2HgRh, relaxed, DFT PBE-GGA
# Formation enthalpy at 0 K, eV per formula unit: 2.3
data_Re2HgRh
_chemical_formula_sum 'Re4 Hg2 Rh2'
_cell_length_a 3.8299
_cell_length_b 3.8299
_cell_length_c 8.6744
_cell_angle_alpha 90.00
_cell_angle_beta 90.00
_cell_angle_gamma 90.00
_symmetry_space_group_name_H-M 'I 4/m m m'
_symmetry_Int_Tables_number 139
_symmetry_space_group_name_Hall '-I 4 2'
loop_
_atom_site_label
_atom_site_type_symbol
_atom_site_fract_x
_atom_site_fract_y
_atom_site_fract_z
Re1 Re 0.0000 0.5000 0.2500
Hg1 Hg 0.0000 0.0000 0.0000
Rh1 Rh 0.0000 0.0000 0.5000



# Re2HgRh, relaxed, DFT PBE-GGA
# Formation enthalpy at 0 K, eV per formula unit: 2.6
data_Re2HgRh
_chemical_formula_sum 'Re2 Hg1 Rh1'
_cell_length_a 3.8345
_cell_length_b 3.8345
_cell_length_c 4.3394
_cell_angle_alpha 90.00
_cell_angle_beta 90.00
_cell_angle_gamma 90.00
_symmetry_space_group_name_H-M 'P 4/m m m'
_symmetry_Int_Tables_number 123
_symmetry_space_group_name_Hall '-P 4 2'
loop_
_atom_site_label
_atom_site_type_symbol
_atom_site_fract_x
_atom_site_fract_y
_atom_site_fract_z
Re1 Re 0.0000 0.5000 0.0000
Hg1 Hg 0.0000 0.0000 0.5000
Rh1 Rh 0.5000 0.5000 0.5000



# Re2HgRh, relaxed, DFT PBE-GGA
# Formation enthalpy at 0 K, eV per formula unit: 1.8
data_Re2HgRh
_chemical_formula_sum 'Re4 Hg2 Rh2'
_cell_length_a 2.9140
_cell_length_b 4.7259
_cell_length_c 9.5255
_cell_angle_alpha 90.00
_cell_angle_beta 90.00
_cell_angle_gamma 90.00
_symmetry_space_group_name_H-M 'C m m 2'
_symmetry_Int_Tables_number 35
_symmetry_space_group_name_Hall 'C 2 -2'
loop_
_atom_site_label
_atom_site_type_symbol
_atom_site_fract_x
_atom_site_fract_y
_atom_site_fract_z
Re1 Re 0.0000 0.0000 0.0000
Re2 Re 0.0000 0.5000 0.2279
Hg1 Hg 0.0000 0.5000 0.7224
Rh1 Rh 0.0000 0.0000 0.4633



# ReHgRh2, relaxed, DFT PBE-GGA
# Formation enthalpy at 0 K, eV per formula unit: 1.8
data_ReHgRh2
_chemical_formula_sum 'Re1 Hg1 Rh2'
_cell_length_a 4.7595
_cell_length_b 4.7595
_cell_length_c 2.8301
_cell_angle_alpha 90.00
_cell_angle_beta 90.00
_cell_angle_gamma 90.00
_symmetry_space_group_name_H-M 'P 4/m m m'
_symmetry_Int_Tables_number 123
_symmetry_space_group_name_Hall '-P 4 2'
loop_
_atom_site_label
_atom_site_type_symbol
_atom_site_fract_x
_atom_site_fract_y
_atom_site_fract_z
Re1 Re 0.0000 0.0000 0.0000
Hg1 Hg 0.5000 0.5000 0.0000
Rh1 Rh 0.0000 0.5000 0.5000